(1)
This record from Alexandria describes Th4Sb3C2 after structural relaxation. The functional is PBE-GGA.

Values from the calculation:
Total magnetic moment = 0.000 μB per atom
Formation energy from raw total energies = -5.3 eV/f.u.
Raw total energy = -65.83 eV/cell
Calculated density = 8.897 g/cm³

The structure in POSCAR format:
```
Th4Sb3C2
1.0
-3.479 1.090 -2.244
0.822 -7.291 -0.731
-3.945 3.816 7.967
Sb C Th
3 2 4
Cartesian
-1.922 -4.227 0.927 Sb
-4.680 1.842 4.065 Sb
0.000 0.000 0.000 Sb
-3.093 -1.733 3.952 C
-3.509 -0.653 1.040 C
-3.988 -0.816 5.785 Th
-4.794 -2.326 2.218 Th
-1.808 -0.060 2.773 Th
-2.614 -1.569 -0.793 Th
```

(2)
This record from Alexandria describes Ca2InAg4 after structural relaxation. The functional is PBE-GGA.

Values from the calculation:
Total magnetic moment = 0.000 μB per atom
Energy above the most stable polymorph in this dataset = 0 meV/atom
Formation energy = 0.01 eV per atom
Raw total energy = -18.08 eV/cell
Calculated density = 4.955 g/cm³

The structure in POSCAR format:
```
Ca2InAg4
1.0
5.052 1.223 -1.768
0.831 5.131 -1.768
-0.937 -1.012 8.994
Ag Ca In
4 2 1
Cartesian
0.415 2.565 -0.884 Ag
2.526 0.612 -0.884 Ag
0.767 0.829 2.763 Ag
4.179 4.514 2.695 Ag
1.539 1.663 5.548 Ca
3.407 3.680 -0.090 Ca
0.000 0.000 0.000 In
```

(3)
This record from Alexandria describes YGaAs3 after structural relaxation. The functional is PBE-GGA.

Values from the calculation:
Total magnetic moment = 0.000 μB per atom
Energy above the most stable polymorph in this dataset = 0 meV/atom
Formation energy = 0.05 eV per atom
Raw total energy = -23.18 eV/cell
Calculated density = 5.379 g/cm³

The structure in POSCAR format:
```
YGaAs3
1.0
-0.556 3.733 -3.140
-3.121 -2.701 -2.658
-3.749 1.695 2.679
As Y Ga
3 1 1
Cartesian
-0.278 1.866 -1.570 As
-1.561 -1.351 -1.329 As
-1.874 0.848 1.339 As
-3.713 1.363 -1.560 Y
0.000 0.000 0.000 Ga
```

(4)
This record from Alexandria describes PrDy3 after structural relaxation. The functional is PBE-GGA.

Values from the calculation:
Total magnetic moment = 0.000 μB per atom
Energy above the most stable polymorph in this dataset = 2 meV/atom
Formation energy = 0.02 eV per atom
Raw total energy = -18.51 eV/cell
Calculated density = 8.016 g/cm³

The structure in POSCAR format:
```
PrDy3
1.0
-3.333 0.949 3.688
-1.567 -3.171 -0.600
4.391 -3.078 4.759
Pr Dy
1 3
Cartesian
0.000 0.000 0.000 Pr
-1.332 -1.895 2.756 Dy
2.196 -1.539 2.380 Dy
0.824 -3.406 5.092 Dy
```

Question: Which formula does entry 1 have?
Answer: Th4Sb3C2

Please write out number 1 again, unchanged.
This record from Alexandria describes Th4Sb3C2 after structural relaxation. The functional is PBE-GGA.

Values from the calculation:
Total magnetic moment = 0.000 μB per atom
Formation energy from raw total energies = -5.3 eV/f.u.
Raw total energy = -65.83 eV/cell
Calculated density = 8.897 g/cm³

The structure in POSCAR format:
```
Th4Sb3C2
1.0
-3.479 1.090 -2.244
0.822 -7.291 -0.731
-3.945 3.816 7.967
Sb C Th
3 2 4
Cartesian
-1.922 -4.227 0.927 Sb
-4.680 1.842 4.065 Sb
0.000 0.000 0.000 Sb
-3.093 -1.733 3.952 C
-3.509 -0.653 1.040 C
-3.988 -0.816 5.785 Th
-4.794 -2.326 2.218 Th
-1.808 -0.060 2.773 Th
-2.614 -1.569 -0.793 Th
```